Record 1
Below is an optimized crystal structure of PmCd6Au12, with properties calculated at the PBE level.

Values from the calculation:
ΔE_f in eV/atom: -0.1607
Space group: No. 166

a b c (Å): 7.747 7.747 7.747
angles (deg): 104.61 104.61 104.61
Fractional positions:
Au 0.500 0.113 0.887
Au 0.344 0.099 0.344
Au 0.113 0.887 0.500
Au 0.656 0.901 0.656
Au 0.099 0.344 0.344
Au 0.344 0.344 0.099
Au 0.887 0.113 0.500
Au 0.113 0.500 0.887
Au 0.500 0.887 0.113
Au 0.887 0.500 0.113
Au 0.901 0.656 0.656
Au 0.656 0.656 0.901
Cd 0.691 0.298 0.298
Cd 0.298 0.298 0.691
Cd 0.298 0.691 0.298
Cd 0.309 0.702 0.702
Cd 0.702 0.309 0.702
Cd 0.702 0.702 0.309
Pm 0.000 0.000 0.000


Record 2
Below is an optimized crystal structure of Pm2PrCdAu4, with properties calculated at the PBE level.

Values from the calculation:
ΔE_f in eV/atom: -0.7117
Space group: No. 166

a b c (Å): 5.153 5.153 8.962
angles (deg): 73.29 73.29 60.00
Fractional positions:
Au 0.370 0.370 0.890
Au 0.120 0.120 0.639
Au 0.880 0.880 0.361
Au 0.630 0.630 0.110
Pr 0.000 0.000 0.000
Cd 0.500 0.500 0.500
Pm 0.241 0.241 0.278
Pm 0.759 0.759 0.722


Record 3
Below is an optimized crystal structure of Pm4CdPtAu2, with properties calculated at the PBE level.

Values from the calculation:
ΔE_f in eV/atom: -0.7583
Space group: No. 166

a b c (Å): 5.226 5.226 9.059
angles (deg): 73.24 73.24 60.00
Fractional positions:
Pm 0.131 0.131 0.606
Pm 0.869 0.869 0.394
Pm 0.383 0.383 0.851
Pm 0.617 0.617 0.149
Cd 0.000 0.000 0.000
Au 0.738 0.738 0.785
Au 0.262 0.262 0.215
Pt 0.500 0.500 0.500


Record 4
Below is an optimized crystal structure of PmPuCdAu, with properties calculated at the PBE level.

Values from the calculation:
ΔE_f in eV/atom: -0.3035
Space group: No. 216

a b c (Å): 5.288 5.288 5.288
angles (deg): 60.00 60.00 60.00
Site moments in Bohr magnetons follow the coordinates.
Fractional positions:
Cd 0.250 0.250 0.250  0.01
Au 0.750 0.750 0.750  0.02
Pu 0.000 0.000 0.000  5.43
Pm 0.500 0.500 0.500  0.11


Record 5
Below is an optimized crystal structure of PmCdRhAu, with properties calculated at the PBE level.

Values from the calculation:
ΔE_f in eV/atom: -0.4905
Space group: No. 216

a b c (Å): 4.904 4.904 4.904
angles (deg): 60.00 60.00 60.00
Fractional positions:
Pm 0.250 0.250 0.250
Rh 0.500 0.500 0.500
Au 0.000 0.000 0.000
Cd 0.750 0.750 0.750


Record 6
Below is an optimized crystal structure of PmCdSbAu, with properties calculated at the PBE level.

Values from the calculation:
ΔE_f (raw) in eV per atom: -0.47
Space group: No. 216

a b c (Å): 5.207 5.207 5.207
angles (deg): 60.00 60.00 60.00
Fractional positions:
Pm 0.250 0.250 0.250
Sb 0.500 0.500 0.500
Cd 0.750 0.750 0.750
Au 0.000 0.000 0.000


Record 7
Below is an optimized crystal structure of PmSc2CdAu4, with properties calculated at the PBE level.

Values from the calculation:
ΔE_f in eV/atom: -0.6683
Space group: No. 166

a b c (Å): 4.781 4.781 9.056
angles (deg): 74.70 74.70 60.00
Fractional positions:
Au 0.389 0.389 0.834
Au 0.121 0.121 0.637
Au 0.611 0.611 0.166
Au 0.879 0.879 0.363
Sc 0.761 0.761 0.716
Sc 0.239 0.239 0.284
Cd 0.500 0.500 0.500
Pm 0.000 0.000 0.000


Record 8
Below is an optimized crystal structure of PmCdSi2Au5, with properties calculated at the PBE level.

Values from the calculation:
ΔE_f (raw) in eV per atom: -0.20
Space group: No. 123

a b c (Å): 4.581 4.581 9.699
angles (deg): 90.00 90.00 90.00
Fractional positions:
Au 0.500 0.000 0.180
Au 0.500 0.500 0.500
Au 0.500 0.000 0.820
Au 0.000 0.500 0.820
Au 0.000 0.500 0.180
Pm 0.000 0.000 0.500
Cd 0.000 0.000 0.000
Si 0.500 0.500 0.258
Si 0.500 0.500 0.742


Record 9
Below is an optimized crystal structure of Pm2CdSi4Au3, with properties calculated at the PBE level.

Values from the calculation:
ΔE_f (raw) in eV per atom: -0.48
Space group: No. 115

a b c (Å): 4.355 4.355 10.480
angles (deg): 90.00 90.00 90.00
Fractional positions:
Au 0.000 0.000 0.500
Au 0.000 0.500 0.125
Au 0.500 0.000 0.875
Si 0.500 0.500 0.000
Si 0.500 0.000 0.643
Si 0.000 0.500 0.357
Si 0.000 0.000 0.000
Cd 0.500 0.500 0.500
Pm 0.000 0.500 0.756
Pm 0.500 0.000 0.244


Record 10
Below is an optimized crystal structure of PmCdSiAu, with properties calculated at the PBE level.

Values from the calculation:
ΔE_f (raw) in eV per atom: -0.38
Space group: No. 216

a b c (Å): 4.973 4.973 4.973
angles (deg): 60.00 60.00 60.00
Fractional positions:
Au 0.250 0.250 0.250
Pm 0.000 0.000 0.000
Cd 0.500 0.500 0.500
Si 0.750 0.750 0.750


Record 11
Below is an optimized crystal structure of Pm2CdSi3Au4, with properties calculated at the PBE level.

Values from the calculation:
ΔE_f (raw) in eV per atom: -0.54
Space group: No. 115

a b c (Å): 4.312 4.312 10.923
angles (deg): 90.00 90.00 90.00
Fractional positions:
Cd 0.500 0.500 0.500
Au 0.500 0.500 0.000
Au 0.500 0.000 0.650
Au 0.000 0.000 0.000
Au 0.000 0.500 0.350
Si 0.500 0.000 0.870
Si 0.000 0.500 0.130
Si 0.000 0.000 0.500
Pm 0.500 0.000 0.233
Pm 0.000 0.500 0.767


Record 12
Below is an optimized crystal structure of Pm2SmCdAu4, with properties calculated at the PBE level.

Values from the calculation:
ΔE_f in eV/atom: -0.7368
Space group: No. 166

a b c (Å): 5.121 5.121 8.932
angles (deg): 73.34 73.34 60.00
Fractional positions:
Sm 0.500 0.500 0.500
Pm 0.258 0.258 0.225
Pm 0.742 0.742 0.775
Au 0.620 0.620 0.141
Au 0.380 0.380 0.859
Au 0.867 0.867 0.400
Au 0.133 0.133 0.600
Cd 0.000 0.000 0.000